# PBE Ho5Ga2Ni, relaxed
# Formation energy = -222 meV per atom
# DOS at the Fermi energy = 0.9825 states/eV/atom
# Crystal system = tetragonal
# Raw total energy = -4.5626 eV per atom
# Density = 8.9 g/cm3
data_Ho5Ga2Ni
_chemical_formula_sum 'Ho10 Ga4 Ni2'
_cell_length_a 6.729
_cell_length_b 6.729
_cell_length_c 8.443
_cell_angle_alpha 90.00
_cell_angle_beta 90.00
_cell_angle_gamma 90.00
_symmetry_space_group_name_H-M 'I 4 m m'
_symmetry_Int_Tables_number 107
_symmetry_space_group_name_Hall 'I 4 -2'
loop_
_atom_site_label
_atom_site_fract_x
_atom_site_fract_y
_atom_site_fract_z
Ho1 0.000 0.000 0.000
Ho2 0.248 0.248 0.740
Ga1 0.000 0.500 0.490
Ni1 0.000 0.000 0.410